(1)
Density functional theory data (PBE-GGA) for Li2HoPaS4 after structural relaxation.

The spin magnetization is 1.791 μB/f.u. Its formation energy from raw total energies is -1.6311 eV/atom. As for the density of states at the Fermi level: 5.775 states/eV/cell.

Unit cell a=3.839 b=6.754 c=6.631 alpha=109.59 beta=90.00 gamma=90.00
Each line ends with the local moment (μB).
Positions (direct):
Ho  0.000  0.000  0.000  0.15
Li  0.000  0.500  0.500  0.00
Li  0.500  0.000  0.500  0.00
S  0.000  0.243  0.741  -0.02
S  0.500  0.252  0.254  -0.01
S  0.000  0.757  0.259  -0.02
S  0.500  0.748  0.746  -0.01
Pa  0.500  0.500  0.000  1.25



(2)
Density functional theory data (PBE-GGA) for Li3Ho3PaS8 after structural relaxation.

The spin magnetization is 0.961 μB/f.u. Its formation energy from raw total energies is -1.7746 eV/atom. As for the density of states at the Fermi level: 5.150 states/eV/cell.

Unit cell a=7.866 b=7.865 c=7.659 alpha=120.92 beta=90.00 gamma=120.00
Each line ends with the local moment (μB).
Positions (direct):
S  0.754  0.001  0.255  -0.01
S  0.750  0.499  0.749  0.00
S  0.246  0.493  0.745  -0.01
S  0.752  0.999  0.745  -0.01
S  0.248  0.001  0.255  -0.01
S  0.754  0.507  0.255  -0.01
S  0.246  0.999  0.745  -0.01
S  0.250  0.501  0.251  0.00
Li  0.000  0.500  0.000  0.00
Li  0.000  0.000  0.000  0.00
Li  0.500  0.500  0.000  0.00
Ho  0.500  0.500  0.500  0.03
Ho  0.000  0.500  0.500  0.03
Ho  0.500  0.000  0.500  0.03
Pa  0.000  0.000  0.500  0.81



(3)
Density functional theory data (PBE-GGA) for LiHo2PaS5 after structural relaxation.

The spin magnetization is 1.125 μB/f.u. Its formation energy from raw total energies is -1.6950 eV/atom. As for the density of states at the Fermi level: 10.160 states/eV/cell.

Unit cell a=3.834 b=8.326 c=11.904 alpha=90.00 beta=90.00 gamma=103.31
Each line ends with the local moment (μB).
Positions (direct):
S  0.497  0.995  0.781  0.00
S  0.953  0.906  0.572  -0.01
S  0.047  0.094  0.072  -0.01
S  0.712  0.424  0.169  -0.02
S  0.366  0.732  0.005  -0.01
S  0.503  0.005  0.281  0.00
S  0.688  0.375  0.840  -0.02
S  0.288  0.576  0.669  -0.02
S  0.634  0.268  0.505  -0.01
S  0.312  0.625  0.340  -0.02
Ho  0.127  0.253  0.291  0.04
Ho  0.892  0.783  0.190  0.03
Ho  0.108  0.217  0.690  0.03
Ho  0.873  0.747  0.791  0.04
Li  0.515  0.029  0.973  0.00
Li  0.485  0.971  0.473  0.00
Pa  0.800  0.600  0.504  0.91
Pa  0.200  0.400  0.004  0.91